VASP calculation (PBE) on a relaxed structure of TbCo2PN.

Computed properties:
- raw formation energy (eV/atom) = -0.94
- calculated total energy (hartree per atom) = -0.27414

abc: 3.4973 5.6869 6.6384
angles: 90.00 90.00 107.91
Fractional coordinates of all 10 atoms:
Co: 0.8305 0.6609 0.0530
Co: 0.8305 0.6609 0.4470
Co: 0.1695 0.3391 0.5530
Co: 0.1695 0.3391 0.9470
Tb: 0.4631 0.9262 0.7500
Tb: 0.5369 0.0738 0.2500
P: 0.2679 0.5358 0.2500
P: 0.7321 0.4642 0.7500
N: 0.0000 0.0000 0.5000
N: 0.0000 0.0000 0.0000

VASP calculation (PBE) on a relaxed structure of Nb2SiTe.

Computed properties:
- raw formation energy (eV/atom) = -0.09
- calculated total energy (hartree per atom) = -0.26711
- energy above the most stable polymorph in this dataset (meV/atom) = 0.0

abc: 4.6738 4.6738 4.6738
angles: 60.00 60.00 60.00
Fractional coordinates of all 4 atoms:
Te: 0.5000 0.5000 0.5000
Si: 0.0000 0.0000 0.0000
Nb: 0.7500 0.7500 0.7500
Nb: 0.2500 0.2500 0.2500

VASP calculation (PBE) on a relaxed structure of La2ScCuSe5.

Computed properties:
- raw formation energy (eV/atom) = -1.65
- calculated total energy (hartree per atom) = -0.21467

abc: 4.0816 9.0210 12.1055
angles: 90.00 90.00 103.08
Fractional coordinates of all 18 atoms:
Se: 0.2893 0.5785 0.6649
Se: 0.7107 0.4215 0.1649
Se: 0.3511 0.7022 0.0037
Se: 0.6936 0.3871 0.8561
Se: 0.4992 0.9983 0.7781
Se: 0.5008 0.0017 0.2781
Se: 0.3064 0.6129 0.3561
Se: 0.6489 0.2978 0.5037
Se: 0.0467 0.0934 0.0564
Se: 0.9533 0.9066 0.5564
Cu: 0.5682 0.1363 0.9512
Cu: 0.4318 0.8637 0.4512
La: 0.1120 0.2240 0.6896
La: 0.8880 0.7760 0.1896
La: 0.8751 0.7503 0.8114
La: 0.1249 0.2497 0.3114
Sc: 0.8081 0.6162 0.5126
Sc: 0.1919 0.3838 0.0126

VASP calculation (PBE) on a relaxed structure of Tb12Pm2Pr5.

Computed properties:
- calculated total energy (hartree per atom) = -0.16427
- calculated formation energy (meV per atom) = 212.2

abc: 9.2199 10.1138 8.7644
angles: 66.51 90.00 117.12
Fractional coordinates of all 19 atoms:
Tb: 0.5688 0.1377 0.2760
Tb: 0.0360 0.7075 0.9119
Tb: 0.1593 0.7540 0.4523
Tb: 0.5947 0.7540 0.4523
Tb: 0.6715 0.7075 0.9119
Tb: 0.0462 0.0924 0.8155
Tb: 0.4053 0.2460 0.5477
Tb: 0.9538 0.9076 0.1845
Tb: 0.8407 0.2460 0.5477
Tb: 0.9640 0.2925 0.0881
Tb: 0.4312 0.8623 0.7240
Tb: 0.3285 0.2925 0.0881
Pr: 0.0000 0.0000 0.5000
Pr: 0.7178 0.4356 0.7702
Pr: 0.7630 0.5260 0.2999
Pr: 0.2370 0.4740 0.7001
Pr: 0.2822 0.5644 0.2298
Pm: 0.6713 0.0000 0.0000
Pm: 0.3287 0.0000 0.0000

no.,ρ (g cm⁻³)
1,8.51
2,7.85
3,5.97
4,7.41